## A
CuAsSeN2: optimized geometry, GGA-PBE.

The structure in POSCAR format:
```
CuAsSeN2
1.0
3.803 0.000 0.000
0.000 3.803 0.000
0.000 0.000 5.547
Cu N Se As
1 2 1 1
direct
0.000 0.000 0.000 Cu
0.500 0.000 0.000 N
0.000 0.500 0.000 N
0.000 0.000 0.500 Se
0.500 0.500 0.500 As
```

=====

## B
CuAsSeN2: optimized geometry, GGA-PBE.

The structure in POSCAR format:
```
CuAsSeN2
1.0
-2.272 -2.608 1.010
2.791 -2.194 0.613
0.293 2.002 5.827
N As Se Cu
2 1 1 1
direct
0.000 0.500 0.000 N
0.500 0.000 0.000 N
0.000 0.000 0.000 As
0.000 0.000 0.500 Se
0.500 0.500 0.500 Cu
```

=====

Which one sits at the bottom of the stability order? A does.

=====

## A
CuAs2SeN: optimized geometry, GGA-PBE.

The structure in POSCAR format:
```
CuAs2SeN
1.0
-1.751 0.046 4.291
0.679 -4.573 0.326
4.250 0.755 1.726
As Cu Se N
2 1 1 1
direct
0.000 0.500 0.000 As
0.500 0.000 0.000 As
0.000 0.000 0.000 Cu
0.000 0.000 0.500 Se
0.500 0.500 0.500 N
```

=====

## B
CuAs2SeN: optimized geometry, GGA-PBE.

The structure in POSCAR format:
```
CuAs2SeN
1.0
-3.769 1.131 1.733
-2.012 -2.850 -2.514
0.506 -3.131 3.144
As Cu N Se
2 1 1 1
direct
0.000 0.500 0.000 As
0.500 0.000 0.000 As
0.500 0.500 0.500 Cu
0.000 0.000 0.000 N
0.000 0.000 0.500 Se
```

=====

Which one sits at the bottom of the stability order? A does.

=====

## A
NaCu6As4: optimized geometry, GGA-PBE.

The structure in POSCAR format:
```
NaCu6As4
1.0
6.420 -0.217 -0.319
-3.161 5.592 0.319
-3.161 -1.759 5.318
Cu Na As
6 1 4
direct
0.500 0.500 0.000 Cu
0.000 0.773 0.461 Cu
0.312 0.539 0.539 Cu
0.000 0.461 0.773 Cu
0.688 0.227 0.227 Cu
0.500 0.000 0.500 Cu
0.000 0.000 0.000 Na
0.000 0.576 0.129 As
0.447 0.871 0.871 As
0.553 0.424 0.424 As
0.000 0.129 0.576 As
```

=====

## B
NaCu6As4: optimized geometry, GGA-PBE.

The structure in POSCAR format:
```
NaCu6As4
1.0
3.930 0.000 0.000
0.000 6.195 -3.576
0.000 0.000 7.153
As Cu Na
4 6 1
direct
0.500 0.816 0.631 As
0.500 0.816 0.184 As
0.500 0.369 0.184 As
0.000 0.333 0.667 As
0.500 0.588 0.794 Cu
0.500 0.206 0.794 Cu
0.500 0.206 0.412 Cu
0.000 0.915 0.457 Cu
0.000 0.543 0.085 Cu
0.000 0.543 0.457 Cu
0.000 0.000 0.000 Na
```

=====

Which one sits at the bottom of the stability order? A does.

=====

## A
NaCuAs2: optimized geometry, GGA-PBE.

The structure in POSCAR format:
```
NaCuAs2
1.0
4.656 0.000 0.000
0.000 4.656 0.000
2.328 2.328 8.162
Na As Cu
2 4 2
direct
0.500 0.500 0.000 Na
0.250 0.750 0.500 Na
0.735 0.125 0.250 As
0.375 0.265 0.750 As
0.875 0.985 0.750 As
0.015 0.625 0.250 As
0.000 0.000 0.000 Cu
0.750 0.250 0.500 Cu
```

=====

## B
NaCuAs2: optimized geometry, GGA-PBE.

The structure in POSCAR format:
```
NaCuAs2
1.0
3.880 0.000 0.000
1.940 3.360 0.000
1.940 1.120 6.498
Na As Cu
1 2 1
direct
0.500 0.500 0.500 Na
0.280 0.280 0.160 As
0.720 0.720 0.840 As
0.000 0.000 0.000 Cu
```

=====

## C
NaCuAs2: optimized geometry, GGA-PBE.

The structure in POSCAR format:
```
NaCuAs2
1.0
-3.584 1.146 -4.831
-5.504 -2.150 -0.056
0.131 3.622 4.643
As Cu Na
4 2 2
direct
0.292 0.101 0.268 As
0.708 0.899 0.732 As
0.525 0.601 0.732 As
0.475 0.399 0.268 As
0.774 0.250 0.047 Cu
0.226 0.750 0.953 Cu
0.101 0.250 0.701 Na
0.899 0.750 0.299 Na
```

=====

Which one sits at the bottom of the stability order? A does.